[1]
Compound: CrAg3Pb
Source: Alexandria via LeMat-Bulk
Functional: GGA-PBE
Structure: relaxed

Unit cell a=5.046 b=5.046 c=5.046 alpha=90.00 beta=90.00 gamma=90.00
Space group Pm-3m (No. 221)
Inequivalent atoms, fractional coordinates:
Cr1 0.000 0.000 0.000 [1 per cell]
Ag1 0.000 0.000 0.500 [3 per cell]
Pb1 0.500 0.500 0.500 [1 per cell]

[2]
Compound: CrAgPb2
Source: Alexandria via LeMat-Bulk
Functional: GGA-PBE
Structure: relaxed

Unit cell a=3.582 b=4.725 c=5.834 alpha=90.00 beta=107.72 gamma=90.00
Space group Pm (No. 6)
Inequivalent atoms, fractional coordinates:
Cr1 0.000 0.000 0.000 [1 per cell]
Ag1 0.848 0.500 0.693 [1 per cell]
Pb1 0.273 0.000 0.541 [1 per cell]
Pb2 0.570 0.500 0.141 [1 per cell]

[3]
Compound: CrAg2Pb
Source: Alexandria via LeMat-Bulk
Functional: GGA-PBE
Structure: relaxed

Unit cell a=3.530 b=3.530 c=6.595 alpha=90.00 beta=90.00 gamma=90.00
Space group P4/mmm (No. 123)
Inequivalent atoms, fractional coordinates:
Cr1 0.000 0.000 0.000 [1 per cell]
Ag1 0.500 0.500 0.215 [2 per cell]
Pb1 0.000 0.000 0.500 [1 per cell]

[4]
Compound: CrAgPb2
Source: Alexandria via LeMat-Bulk
Functional: GGA-PBE
Structure: relaxed

Unit cell a=4.586 b=4.586 c=19.483 alpha=90.00 beta=90.00 gamma=90.00
Space group I-42d (No. 122)
Inequivalent atoms, fractional coordinates:
Cr1 0.000 0.000 0.000 [4 per cell]
Ag1 0.000 0.000 0.500 [4 per cell]
Pb1 0.247 0.250 0.125 [8 per cell]

[5]
Compound: CrAgPb2
Source: Alexandria via LeMat-Bulk
Functional: GGA-PBE
Structure: relaxed

Unit cell a=4.358 b=4.358 c=9.861 alpha=90.00 beta=90.00 gamma=90.00
Space group I-4m2 (No. 119)
Inequivalent atoms, fractional coordinates:
Cr1 0.000 0.000 0.000 [2 per cell]
Ag1 0.000 0.500 0.250 [2 per cell]
Pb1 0.000 0.000 0.500 [2 per cell]
Pb2 0.000 0.500 0.750 [2 per cell]

[6]
Compound: CrAgPb3
Source: Alexandria via LeMat-Bulk
Functional: GGA-PBE
Structure: relaxed

Unit cell a=5.223 b=5.223 c=5.223 alpha=90.00 beta=90.00 gamma=90.00
Space group Pm-3m (No. 221)
Inequivalent atoms, fractional coordinates:
Cr1 0.000 0.000 0.000 [1 per cell]
Ag1 0.500 0.500 0.500 [1 per cell]
Pb1 0.000 0.000 0.500 [3 per cell]

[7]
Compound: CrAgPb2
Source: Alexandria via LeMat-Bulk
Functional: GGA-PBE
Structure: relaxed

Unit cell a=11.099 b=3.367 c=5.238 alpha=90.00 beta=107.56 gamma=90.00
Space group Cm (No. 8)
Inequivalent atoms, fractional coordinates:
Cr1 0.000 0.000 0.000 [2 per cell]
Ag1 0.209 0.500 0.310 [2 per cell]
Pb1 0.253 0.000 0.849 [2 per cell]
Pb2 0.471 0.000 0.485 [2 per cell]

[8]
Compound: CrAgPb2
Source: Alexandria via LeMat-Bulk
Functional: GGA-PBE
Structure: relaxed

Unit cell a=9.485 b=3.518 c=5.813 alpha=90.00 beta=101.52 gamma=90.00
Space group C2/m (No. 12)
Inequivalent atoms, fractional coordinates:
Cr1 0.000 0.000 0.000 [2 per cell]
Ag1 0.000 0.500 0.500 [2 per cell]
Pb1 0.248 0.500 0.244 [4 per cell]

[9]
Compound: CrAg4Pb
Source: Alexandria via LeMat-Bulk
Functional: GGA-PBE
Structure: relaxed

Unit cell a=7.879 b=7.879 c=7.879 alpha=90.00 beta=90.00 gamma=90.00
Space group F-43m (No. 216)
Inequivalent atoms, fractional coordinates:
Cr1 0.000 0.000 0.000 [4 per cell]
Ag1 0.126 0.126 0.374 [16 per cell]
Pb1 0.250 0.250 0.750 [4 per cell]

[10]
Compound: CrAg2Pb2
Source: Alexandria via LeMat-Bulk
Functional: GGA-PBE
Structure: relaxed

Unit cell a=4.466 b=4.466 c=13.190 alpha=90.00 beta=90.00 gamma=90.00
Space group I4/mmm (No. 139)
Inequivalent atoms, fractional coordinates:
Cr1 0.000 0.000 0.000 [2 per cell]
Ag1 0.000 0.000 0.401 [4 per cell]
Pb1 0.000 0.500 0.250 [4 per cell]

[11]
Compound: CrAgPb2
Source: Alexandria via LeMat-Bulk
Functional: GGA-PBE
Structure: relaxed

Unit cell a=3.3959 b=3.3959 c=28.7660 alpha=90.00 beta=90.00 gamma=120.00
Space group R-3m (No. 166, hexagonal axes)
Inequivalent atoms, fractional coordinates:
Cr1 0.0000 0.0000 0.0000 [3 per cell]
Ag1 0.0000 0.0000 0.5000 [3 per cell]
Pb1 0.0000 0.0000 0.2513 [6 per cell]

[12]
Compound: Cr2AgPb
Source: Alexandria via LeMat-Bulk
Functional: GGA-PBE
Structure: relaxed

Unit cell a=6.840 b=6.840 c=6.840 alpha=90.00 beta=90.00 gamma=90.00
Space group F-43m (No. 216)
Inequivalent atoms, fractional coordinates:
Cr1 0.000 0.000 0.000 [4 per cell]
Cr2 0.250 0.250 0.250 [4 per cell]
Ag1 0.000 0.000 0.500 [4 per cell]
Pb1 0.250 0.250 0.750 [4 per cell]

| no. | density of states at the Fermi level (states/eV per cell) | formation energy from the elements (meV per atom) |
| --- | --- | --- |
| 1 | 2.33 | 822 |
| 2 | 2.62 | 355 |
| 3 | 2.13 | 340 |
| 4 | 8.58 | 519 |
| 5 | 4.20 | 394 |
| 6 | 1.32 | 506 |
| 7 | 5.21 | 362 |
| 8 | 3.94 | 417 |
| 9 | 6.87 | 283 |
| 10 | 5.63 | 625 |
| 11 | 7.70 | 441 |
| 12 | 8.02 | 672 |